No. 1
This record from the Alexandria database describes a crystal of Co2H2W relaxed with PBEsol. The functional is meta-GGA SCAN.

Output
Magnetic moment in μB per atom: 0.0000
Uncorrected energy in eV per atom: -21.974
SG: No. 139

Cell: 3.1644 3.1644 4.5171 Å, 110.50 110.50 90.00°
Last column: nearest neighbours and their distance in Å.
Fractional positions:
H 0.2500 0.7500 0.5000  4 Co 1.72
W 0.0000 0.0000 0.0000  8 H 2.52, 10 Co 2.58-2.63
Co 0.3354 0.3354 0.6709  4 H 1.72
Co 0.6646 0.6646 0.3291  4 H 1.72
H 0.7500 0.2500 0.5000  4 Co 1.72

---

No. 2
This record from the Alexandria database describes a crystal of NaCa2SnMo relaxed with PBEsol. The functional is meta-GGA SCAN.

Output
Calculated formation energy in meV/atom: 988
Magnetic moment in μB per atom: 0.9333
Uncorrected energy in eV per atom: -17.882
SG: No. 123

Cell: 5.1026 5.4427 5.4427 Å, 90.00 90.00 90.00°
Last column: nearest neighbours and their distance in Å.
Fractional positions:
Sn 0.5000 0.0000 0.0000  2 Na 2.55
Ca 0.0000 0.5000 0.0000  2 Na 2.72
Mo 0.5000 0.5000 0.5000  8 Ca 3.73, 4 Sn 3.85
Na 0.0000 0.0000 0.0000  2 Sn 2.55, 4 Ca 2.72
Ca 0.0000 0.0000 0.5000  2 Na 2.72

---

No. 3
This record from the Alexandria database describes a crystal of Cr2Ir relaxed with PBEsol. The functional is meta-GGA SCAN.

Output
Calculated formation energy in meV/atom: -102
Magnetic moment in μB per atom: 0.3029
Uncorrected energy in eV per atom: -36.058
SG: No. 194

Cell: 4.1152 4.1152 5.1095 Å, 90.00 90.00 120.00°
Last column: nearest neighbours and their distance in Å.
Fractional positions:
Cr 0.0000 0.0000 0.0000  8 Cr 2.55-2.70, 6 Ir 2.70
Ir 0.3333 0.6667 0.7500  5 Cr 2.38-2.55
Ir 0.6667 0.3333 0.2500  5 Cr 2.38-2.55
Cr 0.3333 0.6667 0.2500  5 Ir 2.38-2.55
Cr 0.0000 0.0000 0.5000  8 Cr 2.55-2.70, 6 Ir 2.70
Cr 0.6667 0.3333 0.7500  5 Ir 2.38-2.55

---

No. 4
This record from the Alexandria database describes a crystal of SmCoB5O10 relaxed with PBEsol. The functional is meta-GGA SCAN.

Output
Magnetic moment in μB per atom: 0.1765
Uncorrected formation energy in eV per atom: -2.71
Uncorrected energy in eV per atom: -12.192
SG: No. 14

Cell: 7.5625 8.6279 9.3795 Å, 86.56 90.00 90.00°
Last column: nearest neighbours and their distance in Å.
Fractional positions:
O 0.8517 0.9988 0.4326  1 B 1.38
O 0.5217 0.4178 0.3542  2 B 1.49
O 0.0885 0.4891 0.1911  2 B 1.38-1.47
O 0.8491 0.3162 0.1302  2 B 1.45-1.46
O 0.0330 0.6851 0.6321  2 B 1.37-1.49
Co 0.0926 0.0992 0.3724  5 O 2.01-2.21
O 0.0217 0.0822 0.1458  2 B 1.49
B 0.5953 0.8456 0.0006  3 O 1.35-1.40
O 0.4670 0.1851 0.1321  2 B 1.37-1.49
O 0.2758 0.0404 0.9859  2 B 1.40-1.46
B 0.4669 0.2803 0.4480  4 O 1.45-1.50
O 0.4559 0.2330 0.8781  1 B 1.35
O 0.1290 0.3114 0.0079  2 B 1.37-1.50
O 0.9115 0.5109 0.8089  2 B 1.38-1.47
Sm 0.1854 0.1799 0.7636  7 O 2.29-2.55
O 0.9670 0.3149 0.3679  2 B 1.37-1.49
O 0.7758 0.4596 0.5141  2 B 1.40-1.46
O 0.7153 0.0312 0.7612  2 B 1.48
O 0.3517 0.5012 0.0674  1 B 1.38
O 0.6509 0.8162 0.6302  2 B 1.45-1.46
O 0.5885 0.0109 0.3089  2 B 1.38-1.47
B 0.0953 0.6544 0.4994  3 O 1.35-1.40
O 0.1509 0.6838 0.8698  2 B 1.45-1.46
B 0.3110 0.9304 0.5846  3 O 1.37-1.38
B 0.9669 0.2197 0.0520  4 O 1.45-1.50
B 0.1729 0.9819 0.1087  4 O 1.46-1.49
B 0.3271 0.4819 0.6087  4 O 1.46-1.49
B 0.0331 0.7803 0.9480  4 O 1.45-1.50
Co 0.5926 0.4008 0.1276  5 O 2.01-2.21
O 0.3926 0.3245 0.5866  2 B 1.47-1.49
B 0.9047 0.3456 0.5006  3 O 1.35-1.40
O 0.6483 0.4988 0.9326  1 B 1.38
O 0.8926 0.1755 0.9134  2 B 1.47-1.49
O 0.2847 0.9688 0.2388  2 B 1.48
Sm 0.8146 0.8201 0.2364  7 O 2.29-2.55
O 0.5441 0.7670 0.1219  1 B 1.35
B 0.6729 0.5181 0.3913  4 O 1.46-1.49
O 0.2153 0.4688 0.7388  2 B 1.48
B 0.4225 0.0865 0.2627  4 O 1.46-1.49
O 0.6074 0.6755 0.4134  2 B 1.47-1.49
Sm 0.3146 0.6799 0.2636  7 O 2.29-2.55
O 0.5330 0.8149 0.8679  2 B 1.37-1.49
O 0.6290 0.1886 0.4921  2 B 1.37-1.50
O 0.2242 0.5404 0.4859  2 B 1.40-1.46
O 0.9783 0.9178 0.8542  2 B 1.49
B 0.5331 0.7197 0.5520  4 O 1.45-1.50
O 0.3491 0.1838 0.3698  2 B 1.45-1.46
B 0.8271 0.0181 0.8913  4 O 1.46-1.49
B 0.5775 0.9135 0.7373  4 O 1.46-1.49
O 0.0441 0.7330 0.3781  1 B 1.35
O 0.3710 0.8114 0.5079  2 B 1.37-1.50
O 0.1483 0.0012 0.5674  1 B 1.38
O 0.8710 0.6886 0.9921  2 B 1.37-1.50
O 0.7242 0.9596 0.0141  2 B 1.40-1.46
Co 0.4074 0.5992 0.8724  5 O 2.01-2.21
B 0.9225 0.4135 0.2373  4 O 1.46-1.49
O 0.1074 0.8245 0.0866  2 B 1.47-1.49
Sm 0.6854 0.3201 0.7364  7 O 2.29-2.55
Co 0.9074 0.9008 0.6276  5 O 2.01-2.21
B 0.4047 0.1544 0.9994  3 O 1.35-1.40
O 0.7847 0.5312 0.2612  2 B 1.48
B 0.8110 0.5696 0.9154  3 O 1.37-1.38
B 0.1890 0.4304 0.0846  3 O 1.37-1.38
O 0.4783 0.5822 0.6458  2 B 1.49
B 0.0775 0.5865 0.7627  4 O 1.46-1.49
O 0.9559 0.2670 0.6219  1 B 1.35
O 0.4115 0.9891 0.6911  2 B 1.38-1.47
B 0.6890 0.0696 0.4154  3 O 1.37-1.38

---

No. 5
This record from the Alexandria database describes a crystal of PS2ClF relaxed with PBEsol. The functional is meta-GGA SCAN.

Output
Magnetic moment in μB per atom: 0.0001
Uncorrected formation energy in eV per atom: 0.98
Uncorrected energy in eV per atom: -7.251
SG: No. 123
ΔE to the lowest computed polymorph in meV per atom: 0

Cell: 4.0403 4.0403 5.2656 Å, 90.00 90.00 90.00°
Last column: nearest neighbours and their distance in Å.
Fractional positions:
F 0.0000 0.0000 0.0000  4 S 2.02
S 0.5000 0.0000 0.0000  2 F 2.02
P 0.5000 0.5000 0.5000  4 Cl 2.86
S 0.0000 0.5000 0.0000  2 F 2.02
Cl 0.0000 0.0000 0.5000  2 F 2.63, 4 P 2.86

---

No. 6
This record from the Alexandria database describes a crystal of ZrMoHSe2 relaxed with PBEsol. The functional is meta-GGA SCAN.

Output
Magnetic moment in μB per atom: 0.0000
Uncorrected energy in eV per atom: -22.076
SG: No. 123

Cell: 3.3800 4.5664 4.5664 Å, 90.00 90.00 90.00°
Last column: nearest neighbours and their distance in Å.
Fractional positions:
Zr 0.5000 0.5000 0.5000  8 Se 2.84
Se 0.0000 0.0000 0.5000  2 H 2.28
H 0.0000 0.0000 0.0000  2 Mo 1.69
Se 0.0000 0.5000 0.0000  2 H 2.28
Mo 0.5000 0.0000 0.0000  2 H 1.69

---

No. 7
This record from the Alexandria database describes a crystal of HfCdCu2Rh relaxed with PBEsol. The functional is meta-GGA SCAN.

Output
Calculated formation energy in meV/atom: 1042
Magnetic moment in μB per atom: 0.0000
Uncorrected energy in eV per atom: -30.409
SG: No. 123

Cell: 4.4532 4.4532 4.8865 Å, 90.00 90.00 90.00°
Last column: nearest neighbours and their distance in Å.
Fractional positions:
Cu 0.5000 0.0000 0.0000  2 Cd 2.23
Hf 0.5000 0.5000 0.5000  4 Rh 3.15, 8 Cu 3.31
Cu 0.0000 0.5000 0.0000  2 Cd 2.23
Cd 0.0000 0.0000 0.0000  4 Cu 2.23, 2 Rh 2.44
Rh 0.0000 0.0000 0.5000  2 Cd 2.44

---

No. 8
This record from the Alexandria database describes a crystal of BeMoH2 relaxed with PBEsol. The functional is meta-GGA SCAN.

Output
Magnetic moment in μB per atom: 0.0000
Uncorrected energy in eV per atom: -11.275
SG: No. 122

Cell: 3.9287 3.9287 4.8289 Å, 114.00 114.00 90.00°
Last column: nearest neighbours and their distance in Å.
Fractional positions:
H 0.8229 0.3750 0.2500  2 Be 1.60
H 0.4271 0.8750 0.2500  2 Be 1.60
Be 0.7500 0.2500 0.5000  4 H 1.60
H 0.1250 0.1771 0.7500  2 Be 1.60
Mo 0.2500 0.7500 0.5000  4 H 1.83
Be 0.5000 0.5000 0.0000  4 H 1.60
Mo 0.0000 0.0000 0.0000  4 H 1.83
H 0.6250 0.5729 0.7500  2 Be 1.60

---

No. 9
This record from the Alexandria database describes a crystal of CsZrCd2Cl relaxed with PBEsol. The functional is meta-GGA SCAN.

Output
Magnetic moment in μB per atom: 0.8000
Uncorrected formation energy in eV per atom: 1.13
Uncorrected energy in eV per atom: -26.333
SG: No. 123

Cell: 6.2598 6.5095 6.5095 Å, 90.00 90.00 90.00°
Last column: nearest neighbours and their distance in Å.
Fractional positions:
Cs 0.0000 0.0000 0.0000  2 Zr 3.13, 4 Cd 3.25
Zr 0.5000 0.0000 0.0000  2 Cs 3.13
Cl 0.5000 0.5000 0.5000  8 Cd 4.52, 4 Zr 4.60
Cd 0.0000 0.0000 0.5000  2 Cs 3.25
Cd 0.0000 0.5000 0.0000  2 Cs 3.25

---

No. 10
This record from the Alexandria database describes a crystal of Mn2InSe relaxed with PBEsol. The functional is meta-GGA SCAN.

Output
Magnetic moment in μB per atom: 1.7440
Uncorrected formation energy in eV per atom: 0.33
Uncorrected energy in eV per atom: -22.166
SG: No. 216
ΔE to the lowest computed polymorph in meV per atom: 355

Cell: 4.6194 4.6194 4.6194 Å, 60.00 60.00 60.00°
Last column: nearest neighbours and their distance in Å.
Fractional positions:
Mn 0.7500 0.7500 0.7500  4 In 2.83, 4 Mn 2.83
In 0.5000 0.5000 0.5000  4 Se 2.83, 4 Mn 2.83
Mn 0.0000 0.0000 0.0000  4 Mn 2.83, 4 Se 2.83
Se 0.2500 0.2500 0.2500  4 Mn 2.83, 4 In 2.83

---

No. 11
This record from the Alexandria database describes a crystal of Sr2HgRh relaxed with PBEsol. The functional is meta-GGA SCAN.

Output
Calculated formation energy in meV/atom: -374
Magnetic moment in μB per atom: 0.0000
Uncorrected energy in eV per atom: -36.996
SG: No. 123

Cell: 3.6694 3.6694 7.6798 Å, 90.00 90.00 90.00°
Last column: nearest neighbours and their distance in Å.
Fractional positions:
Rh 0.5000 0.5000 0.5000  8 Sr 3.11
Hg 0.5000 0.5000 0.0000  8 Sr 3.36, 4 Hg 3.67
Sr 0.0000 0.0000 0.2777  4 Rh 3.11, 4 Hg 3.36, 1 Sr 3.41
Sr 0.0000 0.0000 0.7223  4 Rh 3.11, 4 Hg 3.36, 1 Sr 3.41

---

Q: Among the records above, which one has the highest uncorrected energy?
A: PS2ClF

---

Q: magnetic moment of number 3 (Cr2Ir)?
A: 0.3029 μB per atom